Record 1
Mo2HRuW | PBE | optimized geometry

a b c (Å): 4.0207 4.0207 3.9515
angles (deg): 90.00 90.00 90.00
Closest atoms and distances in Å follow each position.
Sites, in units of the cell vectors:
1 Mo 0.0000 0.5000 0.0000  2 H 2.01
2 Mo 0.5000 0.0000 0.0000  2 H 2.01
3 H 0.0000 0.0000 0.0000  2 Ru 1.98, 4 Mo 2.01
4 Ru 0.0000 0.0000 0.5000  2 H 1.98
5 W 0.5000 0.5000 0.5000  8 Mo 2.82, 4 Ru 2.84

Results
Total DFT energy (no corrections) in eV for the cell shown: -46.637
Distance to the lowest polymorph of the same formula in eV per atom: 0.000
Space group: No. 123
Calculated density in g/cm³: 12.42

Record 2
LiMg | PBE | optimized geometry

a b c (Å): 5.4809 5.4809 5.4809
angles (deg): 134.38 134.38 66.49
Closest atoms and distances in Å follow each position.
Sites, in units of the cell vectors:
1 Li 0.3750 0.6250 0.7500  8 Mg 3.00-3.13, 4 Li 3.13
2 Li 0.6250 0.3750 0.2500  8 Mg 3.00-3.13, 4 Li 3.13
3 Mg 0.1250 0.8750 0.2500  8 Li 3.00-3.13, 4 Mg 3.13
4 Mg 0.8750 0.1250 0.7500  8 Li 3.00-3.13, 4 Mg 3.13

Results
Total DFT energy (no corrections) in eV for the cell shown: -7.226
Space group: No. 141
Calculated formation energy in eV per atom: -0.05
Calculated density in g/cm³: 1.25